DFT (PBE-GGA) results for an optimized crystal structure of YGa4Pd6.

Lattice parameters (Å, degrees): 3.8878 7.3761 7.3761 120.00 90.00 90.00
Fractional positions:
Y 0.0000 0.0000 0.0000
Ga 0.5000 0.8018 0.6036
Ga 0.5000 0.3964 0.1982
Ga 0.5000 0.8018 0.1982
Ga 0.0000 0.3333 0.6667
Pd 0.0000 0.5336 0.0671
Pd 0.5000 0.6063 0.8031
Pd 0.0000 0.5336 0.4664
Pd 0.0000 0.9329 0.4664
Pd 0.5000 0.1969 0.8031
Pd 0.5000 0.1969 0.3937

Energy of formation from the pure elements in meV per atom: -758
DFT total energy in Ry per atom: -0.3880

DFT (PBE-GGA) results for an optimized crystal structure of PrTiS3.

Lattice parameters (Å, degrees): 4.6051 6.3428 9.2526 110.04 90.00 90.00
Fractional positions:
Pr 0.2500 0.0375 0.6772
Pr 0.7500 0.3604 0.3228
Ti 0.2500 0.7238 0.1461
Ti 0.7500 0.5777 0.8539
S 0.7500 0.9165 0.8179
S 0.7500 0.6137 0.1227
S 0.7500 0.2693 0.5995
S 0.2500 0.4909 0.8773
S 0.2500 0.0986 0.1821
S 0.2500 0.6698 0.4005

DFT total energy in Ry per atom: -0.4822
E_form (uncorrected) in kJ/mol of formula units: -747.6

DFT (PBE-GGA) results for an optimized crystal structure of NaAg2Cl4.

Lattice parameters (Å, degrees): 8.0930 7.8889 7.8889 61.58 59.14 59.14
Fractional positions:
Na 0.0000 0.5000 0.0000
Na 0.5000 0.5000 0.0000
Ag 0.1320 0.1180 0.6180
Ag 0.5000 0.0000 0.0000
Ag 0.5000 0.5000 0.5000
Ag 0.8680 0.8820 0.3820
Cl 0.2713 0.2386 0.2188
Cl 0.2713 0.7188 0.7386
Cl 0.2678 0.2454 0.7454
Cl 0.7413 0.2454 0.7454
Cl 0.2587 0.7546 0.2546
Cl 0.7287 0.2812 0.2614
Cl 0.7322 0.7546 0.2546
Cl 0.7287 0.7614 0.7812

DFT total energy in Ry per atom: -0.2088
E_form (uncorrected) in kJ/mol of formula units: -528.8

DFT (PBE-GGA) results for an optimized crystal structure of Ce3Pu2UP6.

Lattice parameters (Å, degrees): 6.9912 6.9912 6.9882 99.60 99.60 120.01
Last column: magnetic moment on the atom in μB.
Fractional positions:
Ce 0.1680 0.8320 0.5000  0.56
Ce 0.8320 0.1680 0.5000  0.56
Ce 0.5000 0.5000 0.5000  0.56
Pu 0.3336 0.6664 0.0000  5.01
Pu 0.6664 0.3336 0.0000  5.01
U 0.0000 0.0000 0.0000  1.92
P 0.9202 0.5914 0.7602  -0.08
P 0.7518 0.7518 0.2408  -0.08
P 0.0798 0.4086 0.2398  -0.08
P 0.5914 0.9202 0.7602  -0.08
P 0.2482 0.2482 0.7592  -0.08
P 0.4086 0.0798 0.2398  -0.08

Energy of formation from the pure elements in meV per atom: -1299
DFT total energy in Ry per atom: -0.6480

DFT (PBE-GGA) results for an optimized crystal structure of BSb2Pb.

Lattice parameters (Å, degrees): 6.6705 6.6705 6.7717 60.49 60.49 90.00
Fractional positions:
Pb 0.0000 0.0000 0.0000
Pb 0.7500 0.2500 0.5000
Sb 0.5298 0.1250 0.2500
Sb 0.2202 0.6250 0.2500
Sb 0.3750 0.4702 0.7500
Sb 0.8750 0.7798 0.7500
B 0.5000 0.5000 0.0000
B 0.2500 0.7500 0.5000

DFT total energy in Ry per atom: -0.3111
E_form (uncorrected) in kJ/mol of formula units: 163.8

DFT (PBE-GGA) results for an optimized crystal structure of Pm2NdMg.

Lattice parameters (Å, degrees): 5.0337 5.0182 5.0182 90.00 90.00 90.00
Fractional positions:
Mg 0.5000 0.0000 0.0000
Nd 0.5000 0.5000 0.5000
Pm 0.0000 0.0000 0.5000
Pm 0.0000 0.5000 0.0000

Energy of formation from the pure elements in meV per atom: 2
DFT total energy in Ry per atom: -0.2914